DFT (PBE-GGA) results for ZrCo2Ru after structural relaxation.

Unit cell a=4.7471 b=4.7471 c=4.7471 alpha=132.36 beta=132.28 gamma=69.73
Atoms (fractional coordinates):
Co 0.2497 0.7497 0.5000
Zr 0.7501 0.2501 0.5000
Ru 0.5000 0.5000 0.0000
Co 0.0001 0.0001 0.0000

Calculated values
ΔH_f (0 K)	-28	meV/atom
excess energy over the best structure of this formula in the dataset	0.093	eV per atom
ρ	8.98	g/cm3
energy	-32.1	eV for the cell shown
spin magnetization	0.78	μB per atom